1.
# SmEr6Tl

A relaxed structure of SmEr6Tl (GGA-PBE, the Alexandria database).

Geometry as POSCAR:
```
SmEr6Tl
1.0
6.9363 0.0000 0.0000
0.0000 6.9363 0.0000
0.0000 0.0000 4.9579
Sm Er Tl
1 6 1
Cartesian
0.0000 0.0000 0.0000 Sm
0.0000 3.4682 0.0000 Er
1.7215 1.7215 2.4789 Er
1.7215 5.2148 2.4789 Er
3.4682 0.0000 0.0000 Er
5.2148 1.7215 2.4789 Er
5.2148 5.2148 2.4789 Er
3.4682 3.4682 0.0000 Tl
```

- energy above the lowest structure with this stoichiometry (meV per atom) = 0
- energy of formation (eV/atom) = -0.02
- final energy (eV per cell) = -34.6
- space group = P4/mmm

2.
# Sm2Er5Tl5

A relaxed structure of Sm2Er5Tl5 (GGA-PBE, the Alexandria database).

Geometry as POSCAR:
```
Sm2Er5Tl5
1.0
6.0811 -2.4976 0.0000
6.0811 2.4976 0.0000
-3.9416 0.0000 11.6059
Sm Er Tl
2 5 5
Cartesian
-0.2188 0.0000 3.0671 Sm
8.4393 0.0000 8.5388 Sm
2.3016 0.0000 5.6888 Er
3.4328 0.0000 2.4046 Er
6.0811 0.0000 0.0000 Er
4.7877 0.0000 9.2013 Er
5.9190 0.0000 5.9171 Er
-1.9708 0.0000 5.8029 Tl
-1.9711 0.0000 11.2848 Tl
0.3420 0.0000 8.2403 Tl
7.8785 0.0000 3.3656 Tl
10.1916 0.0000 0.3211 Tl
```

- energy of formation (eV/atom) = -0.20
- final energy (eV per cell) = -46.5
- space group = C2/m

3.
# SmEr7Tl3

A relaxed structure of SmEr7Tl3 (GGA-PBE, the Alexandria database).

Geometry as POSCAR:
```
SmEr7Tl3
1.0
7.1459 0.0000 0.0000
-3.5729 6.1885 0.0000
0.0000 0.0000 7.8562
Sm Er Tl
1 7 3
Cartesian
0.0000 0.0000 0.0000 Sm
0.0000 2.0233 2.7679 Er
-1.8207 5.1768 2.7679 Er
3.5729 0.0482 7.7806 Er
1.8282 3.0702 7.7806 Er
3.5729 2.0628 2.6849 Er
1.8207 5.1768 2.7679 Er
5.3177 3.0702 7.7806 Er
1.8018 1.0402 5.2545 Tl
5.3441 1.0402 5.2545 Tl
3.5729 4.1080 5.2545 Tl
```

- energy of formation (eV/atom) = -0.05
- final energy (eV per cell) = -44.3
- space group = P3m1